This record from Alexandria describes a relaxed structure of Nd6Er2In. The functional is PBE.

Calculated values
* ρ: 7.4 g/cm3
* crystal system: monoclinic
* excess energy over the best structure of this formula in the dataset: 0.000 eV per atom
* Fermi-level density of states: 1.1649 states/eV per atom
* total magnetization: 0.0 μB/f.u.
* E_tot: -4.54 eV per atom

extended XYZ file:
```
18
Lattice="10.4717 -4.6419 0.0000 10.4717 4.6419 0.0000 -1.9177 0.0000 6.0447" Properties=species:S:1:pos:R:3 pbc="T T T"
Nd 1.2355 0.6654 1.3256
Nd 6.7763 2.3198 0.4882
Nd 0.2767 -0.6654 4.3480
Nd 7.7351 0.6687 3.3942
Nd 13.2083 2.3198 2.5341
Nd 8.6939 -0.6687 0.3718
Nd 10.3319 0.6687 5.6729
Nd 5.8175 -2.3198 3.5105
Nd 11.2907 -0.6687 2.6505
Nd 18.7491 0.6654 1.6967
Nd 12.2495 -2.3198 5.5565
Nd 17.7903 -0.6654 4.7190
Er 4.1296 0.7202 3.4746
Er 5.0885 -0.7202 0.4523
Er 13.9373 0.7202 5.5924
Er 14.8962 -0.7202 2.5700
In 9.9923 2.3175 1.5112
In 9.0335 -2.3175 4.5335
```